{
  "formula": "NdTl6",
  "functional": "PBE-GGA",
  "state": "optimized geometry",
  "lattice": [[7.215, 0.000, 0.000], [-2.405, 6.803, 0.000], [-2.405, -3.401, 5.891]],
  "species": ["Nd", "Tl", "Tl", "Tl", "Tl", "Tl", "Tl"],
  "frac_coords": [[0.000, 0.000, 0.000], [0.250, 0.750, 0.500], [0.500, 0.750, 0.250], [0.250, 0.500, 0.750], [0.750, 0.250, 0.500], [0.500, 0.250, 0.750], [0.750, 0.500, 0.250]]
}


{
  "formula": "Nd6Tl",
  "functional": "PBE-GGA",
  "state": "optimized geometry",
  "lattice": [[-2.956, -6.517, -1.570], [7.273, -0.688, 0.558], [-2.716, 2.448, 6.349]],
  "species": ["Nd", "Nd", "Nd", "Nd", "Nd", "Nd", "Tl"],
  "frac_coords": [[0.250, 0.750, 0.500], [0.500, 0.750, 0.250], [0.250, 0.500, 0.750], [0.750, 0.250, 0.500], [0.500, 0.250, 0.750], [0.750, 0.500, 0.250], [0.000, 0.000, 0.000]]
}


{
  "formula": "Nd2Tl",
  "functional": "PBE-GGA",
  "state": "optimized geometry",
  "lattice": [[-1.465, -2.920, 4.533], [-2.770, -0.715, -4.800], [4.425, -5.023, -1.805]],
  "species": ["Nd", "Nd", "Nd", "Nd", "Tl", "Tl"],
  "frac_coords": [[0.000, 0.000, 0.000], [0.000, 0.000, 0.500], [0.333, 0.667, 0.750], [0.667, 0.333, 0.250], [0.333, 0.667, 0.250], [0.667, 0.333, 0.750]]
}


| no. | ρ (g/cm³) | formation energy (eV per atom) | E_tot (eV per formula unit) |
| --- | --- | --- | --- |
| 1 | 7.9 | 0.51 | -15.4 |
| 2 | 5.9 | 1.34 | -21.6 |
| 3 | 8.7 | -0.27 | -12.7 |